A plane-wave DFT calculation with GGA+U was carried out for a relaxed VRuO crystal.

The structure in extended XYZ format:
```
6
Lattice="2.9644 0.0000 0.0000 0.0000 4.1748 0.0000 0.0000 0.0000 6.0599" Properties=species:S:1:pos:R:3 pbc="T T T"
V 0.7411 1.0437 0.9510
V 2.2233 3.1311 5.1089
Ru 0.7411 3.1311 2.8453
Ru 2.2233 1.0437 3.2145
O 0.7411 3.1311 0.4152
O 2.2233 1.0437 5.6447
```

* SG: No. 59
* magnetic moment: 2.06 μB per cell
* final energy: -7.861 eV/atom